No. 1
Computed, not measured: K4Zn3F10 after structural relaxation at the PBE level of DFT.

The structure in CIF format:
```
data_K4Zn3F10
_chemical_formula_sum 'K8 Zn6 F20'
_symmetry_space_group_name_H-M 'I 4/m m m'
_symmetry_Int_Tables_number 139
_symmetry_space_group_name_Hall '-I 4 2'
_cell_length_a 4.1350
_cell_length_b 4.1350
_cell_length_c 29.6917
_cell_angle_alpha 90.00
_cell_angle_beta 90.00
_cell_angle_gamma 90.00
loop_
_atom_site_label
_atom_site_fract_x
_atom_site_fract_y
_atom_site_fract_z
K1 0.0000 0.0000 0.0688
K2 0.0000 0.0000 0.2028
Zn1 0.0000 0.0000 0.3606
Zn2 0.0000 0.0000 0.5000
F1 0.0000 0.0000 0.2918
F2 0.0000 0.0000 0.4305
F3 0.0000 0.5000 0.0000
F4 0.0000 0.5000 0.1382
```

## Properties
The value obtained for the total DFT energy (no corrections) is -141.9 eV per cell. As for the density of states at the Fermi level: 0.0000 states/eV/atom. As for the calculated volume: 507.7 Å³/cell. The value obtained for the formation energy (no corrections) is -4248.0 kJ/mol of formula units.

=====

No. 2
Computed, not measured: CdCu2Tc after structural relaxation at the PBE level of DFT.

The structure in CIF format:
```
data_CdCu2Tc
_chemical_formula_sum 'Cd2 Cu4 Tc2'
_symmetry_space_group_name_H-M 'C m m m'
_symmetry_Int_Tables_number 65
_symmetry_space_group_name_Hall '-C 2 2'
_cell_length_a 5.6365
_cell_length_b 7.9061
_cell_length_c 2.6303
_cell_angle_alpha 90.00
_cell_angle_beta 90.00
_cell_angle_gamma 90.00
loop_
_atom_site_label
_atom_site_fract_x
_atom_site_fract_y
_atom_site_fract_z
Cd1 0.0000 0.0000 0.0000
Cu1 0.2500 0.2500 0.5000
Tc1 0.0000 0.5000 0.0000
```

## Properties
The value obtained for the total DFT energy (no corrections) is -36.5 eV per cell. As for the density of states at the Fermi level: 0.7244 states/eV/atom. As for the calculated volume: 117.2 Å³/cell. The value obtained for the energy relative to the elements is 0.30 eV per atom.

=====

No. 3
Computed, not measured: Mn4Si2B after structural relaxation at the PBE level of DFT.

The structure in CIF format:
```
data_Mn4Si2B
_chemical_formula_sum 'Mn8 Si4 B2'
_symmetry_space_group_name_H-M 'I 4/m m m'
_symmetry_Int_Tables_number 139
_symmetry_space_group_name_Hall '-I 4 2'
_cell_length_a 3.7725
_cell_length_b 3.7725
_cell_length_c 12.0309
_cell_angle_alpha 90.00
_cell_angle_beta 90.00
_cell_angle_gamma 90.00
loop_
_atom_site_label
_atom_site_fract_x
_atom_site_fract_y
_atom_site_fract_z
Mn1 0.0000 0.0000 0.1743
Mn2 0.0000 0.5000 0.0000
Si1 0.0000 0.0000 0.3717
B1 0.0000 0.0000 0.0000
```

## Properties
The value obtained for the total DFT energy (no corrections) is -109.5 eV per cell. As for the density of states at the Fermi level: 0.6846 states/eV/atom. As for the calculated volume: 171.2 Å³/cell. The value obtained for the formation energy (no corrections) is -55.3 kJ/mol of formula units.

=====

No. 4
Computed, not measured: Tl2BiAu after structural relaxation at the PBE level of DFT.

The structure in CIF format:
```
data_Tl2BiAu
_chemical_formula_sum 'Tl6 Bi3 Au3'
_symmetry_space_group_name_H-M 'R 3 m'
_symmetry_Int_Tables_number 160
_symmetry_space_group_name_Hall 'R 3 -2"'
_cell_length_a 3.7179
_cell_length_b 3.7179
_cell_length_c 28.7965
_cell_angle_alpha 90.00
_cell_angle_beta 90.00
_cell_angle_gamma 120.00
loop_
_atom_site_label
_atom_site_fract_x
_atom_site_fract_y
_atom_site_fract_z
Tl1 0.0000 0.0000 0.0000
Tl2 0.0000 0.0000 0.1900
Bi1 0.0000 0.0000 0.7609
Au1 0.0000 0.0000 0.5953
```

## Properties
The value obtained for the total DFT energy (no corrections) is -34.9 eV per cell. As for the density of states at the Fermi level: 0.5042 states/eV/atom. As for the calculated volume: 344.7 Å³/cell. The value obtained for the energy relative to the elements is 0.06 eV per atom.

=====

No. 5
Computed, not measured: LaYTmMg after structural relaxation at the PBE level of DFT.

The structure in CIF format:
```
data_LaYTmMg
_chemical_formula_sum 'La4 Y4 Tm4 Mg4'
_symmetry_space_group_name_H-M 'F -4 3 m'
_symmetry_Int_Tables_number 216
_symmetry_space_group_name_Hall 'F -4 2 3'
_cell_length_a 7.9020
_cell_length_b 7.9020
_cell_length_c 7.9020
_cell_angle_alpha 90.00
_cell_angle_beta 90.00
_cell_angle_gamma 90.00
loop_
_atom_site_label
_atom_site_fract_x
_atom_site_fract_y
_atom_site_fract_z
La1 0.0000 0.0000 0.0000
Y1 0.0000 0.0000 0.5000
Tm1 0.2500 0.2500 0.2500
Mg1 0.2500 0.2500 0.7500
```

## Properties
The value obtained for the total DFT energy (no corrections) is -69.6 eV per cell. As for the density of states at the Fermi level: 1.2685 states/eV/atom. As for the calculated volume: 493.4 Å³/cell. The value obtained for the energy relative to the elements is 0.01 eV per atom.

=====

No. 6
Computed, not measured: Tb2SmNpS4 after structural relaxation at the PBE level of DFT.

The structure in CIF format:
```
data_Tb2SmNpS4
_chemical_formula_sum 'Tb2 Sm1 Np1 S4'
_symmetry_space_group_name_H-M 'P 1 2/m 1'
_symmetry_Int_Tables_number 10
_cell_length_a 6.8368
_cell_length_b 3.9377
_cell_length_c 6.8378
_cell_angle_alpha 90.00
_cell_angle_beta 109.33
_cell_angle_gamma 90.00
loop_
_symmetry_equiv_pos_as_xyz
'x,y,z'
'-x,-y,-z'
'-x,y,-z'
'x,-y,z'
loop_
_atom_site_label
_atom_site_fract_x
_atom_site_fract_y
_atom_site_fract_z
Tb1 0.0000 0.0000 0.0000
Tb2 0.0000 0.5000 0.5000
Sm1 0.5000 0.0000 0.5000
Np1 0.5000 0.5000 0.0000
S1 0.2450 0.5000 0.2454
S2 0.2484 0.0000 0.7529
```

## Properties
The value obtained for the total DFT energy (no corrections) is -58.3 eV per cell. As for the density of states at the Fermi level: 1.3877 states/eV/atom. As for the calculated volume: 173.7 Å³/cell. The value obtained for the formation energy (no corrections) is -1432.8 kJ/mol of formula units.

=====

No. 7
Computed, not measured: AgH2Rh after structural relaxation at the PBE level of DFT.

The structure in CIF format:
```
data_AgH2Rh
_chemical_formula_sum 'Ag4 H8 Rh4'
_symmetry_space_group_name_H-M 'I -4 2 d'
_symmetry_Int_Tables_number 122
_symmetry_space_group_name_Hall 'I -4 2bw'
_cell_length_a 4.1934
_cell_length_b 4.1934
_cell_length_c 9.1398
_cell_angle_alpha 90.00
_cell_angle_beta 90.00
_cell_angle_gamma 90.00
loop_
_atom_site_label
_atom_site_fract_x
_atom_site_fract_y
_atom_site_fract_z
Ag1 0.0000 0.0000 0.0000
H1 0.1773 0.2500 0.6250
Rh1 0.0000 0.0000 0.5000
```

## Properties
The value obtained for the total DFT energy (no corrections) is -65.9 eV per cell. As for the density of states at the Fermi level: 0.2768 states/eV/atom. As for the calculated volume: 160.7 Å³/cell.

=====

No. 8
Computed, not measured: HfSbAsSe2 after structural relaxation at the PBE level of DFT.

The structure in CIF format:
```
data_HfSbAsSe2
_chemical_formula_sum 'Hf1 Sb1 As1 Se2'
_symmetry_space_group_name_H-M 'P 4/m m m'
_symmetry_Int_Tables_number 123
_symmetry_space_group_name_Hall '-P 4 2'
_cell_length_a 5.0853
_cell_length_b 5.0853
_cell_length_c 5.3207
_cell_angle_alpha 90.00
_cell_angle_beta 90.00
_cell_angle_gamma 90.00
loop_
_atom_site_label
_atom_site_fract_x
_atom_site_fract_y
_atom_site_fract_z
Hf1 0.0000 0.0000 0.0000
Sb1 0.5000 0.5000 0.5000
As1 0.0000 0.0000 0.5000
Se1 0.0000 0.5000 0.0000
```

## Properties
The value obtained for the total DFT energy (no corrections) is -26.0 eV per cell. As for the density of states at the Fermi level: 1.0251 states/eV/atom. As for the calculated volume: 137.6 Å³/cell. The value obtained for the formation energy (no corrections) is -34.2 kJ/mol of formula units.

=====

No. 9
Computed, not measured: Hg7Au3 after structural relaxation at the PBE level of DFT.

The structure in CIF format:
```
data_Hg7Au3
_chemical_formula_sum 'Hg28 Au12'
_symmetry_space_group_name_H-M 'I m -3 m'
_symmetry_Int_Tables_number 229
_symmetry_space_group_name_Hall '-I 4 2 3'
_cell_length_a 9.9816
_cell_length_b 9.9816
_cell_length_c 9.9816
_cell_angle_alpha 90.00
_cell_angle_beta 90.00
_cell_angle_gamma 90.00
loop_
_atom_site_label
_atom_site_fract_x
_atom_site_fract_y
_atom_site_fract_z
Hg1 0.0000 0.2500 0.5000
Hg2 0.1636 0.1636 0.1636
Au1 0.0000 0.0000 0.3489
```

## Properties
The value obtained for the total DFT energy (no corrections) is -46.0 eV per cell. As for the density of states at the Fermi level: 0.3433 states/eV/atom. As for the calculated volume: 994.5 Å³/cell. The value obtained for the energy relative to the elements is 0.05 eV per atom.

=====

No. 10
Computed, not measured: LiTa2Cl after structural relaxation at the PBE level of DFT.

The structure in CIF format:
```
data_LiTa2Cl
_chemical_formula_sum 'Li2 Ta4 Cl2'
_symmetry_space_group_name_H-M 'C m m m'
_symmetry_Int_Tables_number 65
_symmetry_space_group_name_Hall '-C 2 2'
_cell_length_a 5.3308
_cell_length_b 9.3186
_cell_length_c 2.8718
_cell_angle_alpha 90.00
_cell_angle_beta 90.00
_cell_angle_gamma 90.00
loop_
_atom_site_label
_atom_site_fract_x
_atom_site_fract_y
_atom_site_fract_z
Li1 0.0000 0.0000 0.0000
Ta1 0.2500 0.2500 0.5000
Cl1 0.0000 0.5000 0.0000
```

## Properties
The value obtained for the total DFT energy (no corrections) is -49.4 eV per cell. As for the density of states at the Fermi level: 0.7907 states/eV/atom. As for the calculated volume: 142.7 Å³/cell. The value obtained for the formation energy (no corrections) is 267.0 kJ/mol of formula units.

=====

No. 11
Computed, not measured: SiBIr after structural relaxation at the PBE level of DFT.

The structure in CIF format:
```
data_SiBIr
_chemical_formula_sum 'Si4 B4 Ir4'
_symmetry_space_group_name_H-M 'P n m a'
_symmetry_Int_Tables_number 62
_cell_length_a 7.8458
_cell_length_b 3.4730
_cell_length_c 5.2751
_cell_angle_alpha 90.00
_cell_angle_beta 90.00
_cell_angle_gamma 90.00
loop_
_symmetry_equiv_pos_as_xyz
'x,y,z'
'-x,-y,-z'
'-x+1/2,-y,z+1/2'
'x+1/2,y,-z+1/2'
'x+1/2,-y+1/2,-z+1/2'
'-x+1/2,y+1/2,z+1/2'
'-x,y+1/2,-z'
'x,-y+1/2,z'
loop_
_atom_site_label
_atom_site_fract_x
_atom_site_fract_y
_atom_site_fract_z
Si1 0.1117 0.2500 0.1558
B1 0.1856 0.7500 0.3966
Ir1 0.0867 0.2500 0.6722
```

## Properties
The value obtained for the total DFT energy (no corrections) is -83.8 eV per cell. As for the density of states at the Fermi level: 0.1671 states/eV/atom. As for the calculated volume: 143.7 Å³/cell. The value obtained for the formation energy (no corrections) is 0.9 kJ/mol of formula units.

=====

No. 12
Computed, not measured: BeNiRu2 after structural relaxation at the PBE level of DFT.

The structure in CIF format:
```
data_BeNiRu2
_chemical_formula_sum 'Be4 Ni4 Ru8'
_symmetry_space_group_name_H-M 'I -4 2 d'
_symmetry_Int_Tables_number 122
_symmetry_space_group_name_Hall 'I -4 2bw'
_cell_length_a 6.4817
_cell_length_b 6.4817
_cell_length_c 4.7884
_cell_angle_alpha 90.00
_cell_angle_beta 90.00
_cell_angle_gamma 90.00
loop_
_atom_site_label
_atom_site_fract_x
_atom_site_fract_y
_atom_site_fract_z
Be1 0.0000 0.0000 0.0000
Ni1 0.0000 0.0000 0.5000
Ru1 0.1996 0.2500 0.1250
```

## Properties
The value obtained for the total DFT energy (no corrections) is -105.0 eV per cell. As for the density of states at the Fermi level: 1.2686 states/eV/atom. As for the calculated volume: 201.2 Å³/cell. The value obtained for the energy relative to the elements is 0.45 eV per atom.